No. 1
BaNa2Sr6Al6O2F32: optimized geometry, PBEsol.

Calculated values
- total magnetic moment (μB/f.u.) = 2.0
- V (Å³ per cell) = 626
- E_form (uncorrected) (eV/atom) = -3.5268

Cell and atoms, written as POSCAR:
```
BaNa2Sr6Al6O2F32
1.0
8.102 -5.473 0.000
8.102 5.473 0.000
-1.418 0.000 7.060
Ba Na Sr Al O F
1 2 6 6 2 32
Direct
0.000 0.000 0.000
0.234 0.234 0.356
0.234 0.234 0.851
0.174 0.585 0.157
0.297 0.879 0.553
0.474 0.474 0.734
0.585 0.174 0.157
0.735 0.735 0.857
0.879 0.297 0.553
0.088 0.598 0.654
0.388 0.865 0.059
0.563 0.563 0.310
0.598 0.088 0.654
0.865 0.388 0.059
0.904 0.904 0.408
0.144 0.144 0.567
0.320 0.320 0.137
0.000 0.725 0.855
0.085 0.848 0.323
0.177 0.476 0.458
0.218 0.692 0.668
0.222 0.476 0.820
0.259 0.986 0.888
0.261 0.768 0.048
0.290 0.991 0.247
0.384 0.615 0.394
0.475 0.734 0.861
0.476 0.177 0.458
0.476 0.222 0.820
0.493 0.493 0.083
0.512 0.747 0.237
0.513 0.954 0.650
0.523 0.948 0.065
0.615 0.384 0.394
0.627 0.627 0.546
0.692 0.218 0.668
0.722 0.957 0.486
0.725 0.000 0.855
0.734 0.475 0.861
0.747 0.512 0.237
0.768 0.261 0.048
0.840 0.840 0.172
0.848 0.085 0.323
0.948 0.523 0.065
0.954 0.513 0.650
0.957 0.722 0.486
0.977 0.977 0.629
0.986 0.259 0.888
0.991 0.290 0.247
```

---

No. 2
NbSb3O8: optimized geometry, PBEsol.

Calculated values
- total magnetic moment (μB/f.u.) = 0.0
- V (Å³ per cell) = 637
- E_form (uncorrected) (eV/atom) = -1.7350

Cell and atoms, written as POSCAR:
```
NbSb3O8
1.0
4.896 0.000 0.000
-0.012 5.518 0.000
-0.001 -0.034 23.565
Nb Sb O
4 12 32
Direct
0.000 0.000 0.000
0.003 0.262 0.250
0.006 0.017 0.499
0.488 0.518 0.499
0.035 0.607 0.624
0.042 0.602 0.123
0.460 0.108 0.624
0.464 0.105 0.125
0.496 0.500 0.997
0.498 0.760 0.749
0.506 0.761 0.248
0.537 0.154 0.874
0.539 0.162 0.375
0.955 0.660 0.374
0.964 0.660 0.874
0.998 0.259 0.750
0.158 0.279 0.670
0.167 0.282 0.169
0.168 0.943 0.075
0.169 0.940 0.576
0.192 0.698 0.469
0.201 0.976 0.778
0.205 0.708 0.968
0.207 0.983 0.273
0.293 0.486 0.275
0.296 0.476 0.778
0.304 0.197 0.469
0.305 0.205 0.969
0.326 0.439 0.576
0.338 0.779 0.169
0.338 0.779 0.670
0.340 0.443 0.075
0.658 0.814 0.826
0.658 0.820 0.326
0.667 0.481 0.420
0.668 0.479 0.919
0.696 0.057 0.219
0.697 0.051 0.718
0.712 0.773 0.026
0.715 0.767 0.525
0.781 0.267 0.525
0.793 0.277 0.023
0.799 0.554 0.218
0.800 0.551 0.719
0.829 0.981 0.420
0.833 0.977 0.919
0.836 0.319 0.326
0.840 0.314 0.826
```

---

No. 3
BeTc2P: optimized geometry, PBEsol.

Calculated values
- formation enthalpy at 0 K (meV per atom) = -412
- total magnetic moment (μB/f.u.) = 0.0
- V (Å³ per cell) = 47
- excess energy over the best structure of this formula in the dataset (meV per atom) = 47

Cell and atoms, written as POSCAR:
```
BeTc2P
1.0
2.943 0.000 0.000
0.000 2.943 0.000
0.000 0.000 5.393
Be Tc P
1 2 1
Direct
0.000 0.000 0.000
0.000 0.000 0.459
0.500 0.500 0.780
0.500 0.500 0.221
```

---

No. 4
KCaCd2: optimized geometry, PBEsol.

Calculated values
- formation enthalpy at 0 K (meV per atom) = 41
- total magnetic moment (μB/f.u.) = 0.0
- V (Å³ per cell) = 131
- excess energy over the best structure of this formula in the dataset (meV per atom) = 70

Cell and atoms, written as POSCAR:
```
KCaCd2
1.0
1.903 1.098 10.416
-1.903 1.098 10.416
0.000 -2.197 10.416
K Ca Cd
1 1 2
Direct
0.000 0.000 0.000
0.500 0.500 0.500
0.242 0.242 0.242
0.758 0.758 0.758
```

---

No. 5
SrCaMo: optimized geometry, PBEsol.

Calculated values
- formation enthalpy at 0 K (meV per atom) = 1661
- total magnetic moment (μB/f.u.) = 3.7
- V (Å³ per cell) = 105
- excess energy over the best structure of this formula in the dataset (meV per atom) = 0

Cell and atoms, written as POSCAR:
```
SrCaMo
1.0
0.000 3.748 3.748
3.748 0.000 3.748
3.748 3.748 0.000
Sr Ca Mo
1 1 1
Direct
0.000 0.000 0.000
0.750 0.750 0.750
0.500 0.500 0.500
```

---

No. 6
SbS3F: optimized geometry, PBEsol.

Calculated values
- total magnetic moment (μB/f.u.) = 1.5
- V (Å³ per cell) = 121
- E_form (uncorrected) (eV/atom) = 0.6326

Cell and atoms, written as POSCAR:
```
SbS3F
1.0
4.946 0.000 0.000
0.000 4.946 0.000
0.000 0.000 4.946
Sb S F
1 3 1
Direct
0.000 0.000 0.000
0.000 0.000 0.500
0.000 0.500 0.000
0.500 0.000 0.000
0.500 0.500 0.500
```